Record 1
The following is a DFT calculation (PBE-GGA) of an optimized crystal structure of CaAg2Pt2.

## Properties
For the raw total energy, the calculation gives -42.0 eV for the cell shown. The calculation puts the energy above the most stable polymorph in this dataset at 0.074 eV per atom. As for the symmetry: No. 127. As for the calculated formation energy: -0.2393 eV/atom.

Cell lengths 7.8721, 7.8721, 3.0798 Å; angles 90.00, 90.00, 90.00 degrees
Sites, in units of the cell vectors:
Ca1 0.0000 0.0000 0.0000
Ca2 0.5000 0.5000 0.0000
Ag1 0.1245 0.3755 0.0000
Ag2 0.3755 0.8755 0.0000
Ag3 0.6245 0.1245 0.0000
Ag4 0.8755 0.6245 0.0000
Pt1 0.1733 0.6733 0.5000
Pt2 0.3267 0.1733 0.5000
Pt3 0.6733 0.8267 0.5000
Pt4 0.8267 0.3267 0.5000

---

Record 2
The following is a DFT calculation (PBE-GGA) of an optimized crystal structure of MnAgSe2.

## Properties
For the raw total energy, the calculation gives -19.5 eV for the cell shown. As for the symmetry: No. 10. As for the uncorrected formation energy: -139 meV/atom.

Cell lengths 4.3557, 3.4536, 6.3400 Å; angles 90.00, 96.51, 90.00 degrees
Sites, in units of the cell vectors:
Mn1 0.0000 0.0000 0.0000
Ag1 0.0000 0.0000 0.5000
Se1 0.2690 0.5000 0.2303
Se2 0.7310 0.5000 0.7697